Entry 1:
Compound: HoErAlCu
Source: the Alexandria database
Functional: PBE
Structure: relaxed

```
HoErAlCu
1.0
3.447 0.000 0.000
0.000 3.447 0.000
0.000 0.000 7.327
Ho Er Al Cu
1 1 1 1
Cartesian
0.000 0.000 0.000
0.000 0.000 3.447
1.724 1.724 5.378
1.724 1.724 1.758
```

formation energy from the elements = -333 meV per atom
calculated density = 8.1 g/cm³
space-group type = P4mm

Entry 2:
Compound: ErAlCuIr
Source: the Alexandria database
Functional: PBE
Structure: relaxed

```
ErAlCuIr
1.0
0.000 3.227 3.227
3.227 0.000 3.227
3.227 3.227 0.000
Er Al Cu Ir
1 1 1 1
Cartesian
0.000 0.000 0.000
3.227 3.227 3.227
4.841 4.841 4.841
1.614 1.614 1.614
```

formation energy from the elements = -548 meV per atom
calculated density = 11.1 g/cm³
space-group type = F-43m